First-principles (PBE with a Hubbard U) data for HfWO3 after structural relaxation, as listed in Alexandria.

Cell lengths 4.070, 4.070, 4.070 Å; angles 90.00, 90.00, 90.00 degrees
Space group Pm-3m (No. 221)
Asymmetric unit:
Hf 0.000 0.000 0.000 [1 per cell]
W 0.500 0.500 0.500 [1 per cell]
O 0.000 0.000 0.500 [3 per cell]

theoretical density: 10.109 g/cm3
final energy: -8.048 eV per atom
DOS(E_F): 3.64 states/eV per cell